# GGA-PBE KSi2Br, optimized geometry
# M_tot, μB/f.u.: 0.0
# Calculated volume, Å³/cell: 296.5
# Formation energy without anion corrections, meV/atom: 739
# Crystal system: trigonal
# Uncorrected energy, eV per cell: -32.0
data_KSi2Br
_chemical_formula_sum 'K3 Si6 Br3'
_cell_length_a 3.4301
_cell_length_b 3.4301
_cell_length_c 29.0955
_cell_angle_alpha 90.00
_cell_angle_beta 90.00
_cell_angle_gamma 120.00
_space_group_name_H-M_alt 'R -3 m'
_space_group_IT_number 166
_space_group_name_Hall '-R 3 2"'
loop_
_atom_site_label
_atom_site_type_symbol
_atom_site_fract_x
_atom_site_fract_y
_atom_site_fract_z
K1 K 0.0000 0.0000 0.0000
Si1 Si 0.0000 0.0000 0.2371
Br1 Br 0.0000 0.0000 0.5000